# CuPSe3, relaxed, DFT PBE-GGA
data_CuPSe3
_chemical_formula_sum 'Cu6 P6 Se18'
_space_group_name_H-M_alt 'R -3'
_space_group_IT_number 148
_space_group_name_Hall '-R 3'
_cell_length_a 6.2176
_cell_length_b 6.2176
_cell_length_c 21.7138
_cell_angle_alpha 90.00
_cell_angle_beta 90.00
_cell_angle_gamma 120.00
loop_
_atom_site_label
_atom_site_type_symbol
_atom_site_fract_x
_atom_site_fract_y
_atom_site_fract_z
_atom_site_occupancy
Cu1 Cu 0.0000 0.0000 0.1668 1
P1 P 0.0000 0.0000 0.4484 1
Se1 Se 0.0005 0.3465 0.5758 1
# raw formation energy = -0.075 eV per atom
# polymorph energy (0 for the lowest one) = 10.3 meV per atom
# Fermi-level density of states = 0.817 states/eV/atom